A relaxed structure of GdCdRu4. Source: the Alexandria database, functional PBE.

Cell: 5.2924 5.2924 5.2924 Å, 60.00 60.00 60.00°
Last column: nearest neighbours and their distance in Å.
Atoms (fractional coordinates):
Gd (0.0000, 0.0000, 0.0000)  12 Ru 3.10, 4 Cd 3.24
Cd (0.2500, 0.2500, 0.2500)  12 Ru 3.10, 4 Gd 3.24
Ru (0.1263, 0.6246, 0.6246)  6 Ru 2.64-2.66
Ru (0.6246, 0.1263, 0.6246)  6 Ru 2.64-2.66
Ru (0.6246, 0.6246, 0.1263)  6 Ru 2.64-2.66
Ru (0.6246, 0.6246, 0.6246)  6 Ru 2.64-2.66

Results
As for the space group: F-43m. For the energy, the calculation gives -8.6383 eV/atom. As for the density: 10677 kg/m³. The value obtained for the density of states at the Fermi level is 1.351 states/eV per atom.